# ScOs2Br PBE-GGA optimized geometry
data_ScOs2Br
_cell_length_a 3.011
_cell_length_b 3.699
_cell_length_c 7.640
_cell_angle_alpha 90.00
_cell_angle_beta 90.00
_cell_angle_gamma 90.00
_space_group_name_H-M_alt 'P 1'
_space_group_IT_number 1
_space_group_name_Hall 'P 1'
loop_
_atom_site_label
_atom_site_type_symbol
_atom_site_fract_x
_atom_site_fract_y
_atom_site_fract_z
Sc1 Sc 0.000 0.000 0.000
Os1 Os 0.000 0.000 0.652
Os2 Os 0.500 0.500 0.766
Br1 Br 0.500 0.500 0.216
# Theoretical density (kg/m³): 9858
# Formation energy from raw total energies (meV per atom): 75
# Total magnetic moment (μB/f.u.): 0.0



# LaCoSi PBE-GGA optimized geometry
data_LaCoSi
_cell_length_a 6.011
_cell_length_b 6.011
_cell_length_c 6.011
_cell_angle_alpha 150.15
_cell_angle_beta 150.15
_cell_angle_gamma 42.73
_space_group_name_H-M_alt 'P 1'
_space_group_IT_number 1
_space_group_name_Hall 'P 1'
loop_
_atom_site_label
_atom_site_type_symbol
_atom_site_fract_x
_atom_site_fract_y
_atom_site_fract_z
La1 La 0.000 0.000 0.000
Co1 Co 0.300 0.300 0.000
Si1 Si 0.715 0.715 0.000
# Theoretical density (kg/m³): 6988
# Formation energy from raw total energies (meV per atom): -277
# Total magnetic moment (μB/f.u.): 0.6



# ZrTe3O PBE-GGA optimized geometry
data_ZrTe3O
_cell_length_a 4.808
_cell_length_b 4.808
_cell_length_c 4.808
_cell_angle_alpha 90.00
_cell_angle_beta 90.00
_cell_angle_gamma 90.00
_space_group_name_H-M_alt 'P 1'
_space_group_IT_number 1
_space_group_name_Hall 'P 1'
loop_
_atom_site_label
_atom_site_type_symbol
_atom_site_fract_x
_atom_site_fract_y
_atom_site_fract_z
Zr1 Zr 0.000 0.000 0.000
Te1 Te 0.000 0.500 0.500
Te2 Te 0.500 0.000 0.500
Te3 Te 0.500 0.500 0.000
O1 O 0.500 0.500 0.500
# Theoretical density (kg/m³): 7322
# Formation energy from raw total energies (meV per atom): -64
# Total magnetic moment (μB/f.u.): 0.0



# GeIrO3 PBE-GGA optimized geometry
data_GeIrO3
_cell_length_a 3.915
_cell_length_b 3.915
_cell_length_c 3.915
_cell_angle_alpha 90.00
_cell_angle_beta 90.00
_cell_angle_gamma 90.00
_space_group_name_H-M_alt 'P 1'
_space_group_IT_number 1
_space_group_name_Hall 'P 1'
loop_
_atom_site_label
_atom_site_type_symbol
_atom_site_fract_x
_atom_site_fract_y
_atom_site_fract_z
Ge1 Ge 0.000 0.000 0.000
Ir1 Ir 0.500 0.500 0.500
O1 O 0.000 0.500 0.500
O2 O 0.500 0.000 0.500
O3 O 0.500 0.500 0.000
# Theoretical density (kg/m³): 8660
# Formation energy from raw total energies (meV per atom): -307
# Total magnetic moment (μB/f.u.): 0.0



# As2IrCl PBE-GGA optimized geometry
data_As2IrCl
_cell_length_a 4.559
_cell_length_b 4.559
_cell_length_c 4.559
_cell_angle_alpha 60.00
_cell_angle_beta 60.00
_cell_angle_gamma 60.00
_space_group_name_H-M_alt 'P 1'
_space_group_IT_number 1
_space_group_name_Hall 'P 1'
loop_
_atom_site_label
_atom_site_type_symbol
_atom_site_fract_x
_atom_site_fract_y
_atom_site_fract_z
As1 As 0.250 0.250 0.250
As2 As 0.750 0.750 0.750
Ir1 Ir 0.000 0.000 0.000
Cl1 Cl 0.500 0.500 0.500
# Theoretical density (kg/m³): 9357
# Formation energy from raw total energies (meV per atom): 445
# Total magnetic moment (μB/f.u.): 0.0



# BaAl2 PBE-GGA optimized geometry
data_BaAl2
_cell_length_a 6.763
_cell_length_b 6.763
_cell_length_c 4.766
_cell_angle_alpha 90.00
_cell_angle_beta 90.00
_cell_angle_gamma 48.25
_space_group_name_H-M_alt 'P 1'
_space_group_IT_number 1
_space_group_name_Hall 'P 1'
loop_
_atom_site_label
_atom_site_type_symbol
_atom_site_fract_x
_atom_site_fract_y
_atom_site_fract_z
Ba1 Ba 0.221 0.779 0.750
Ba2 Ba 0.779 0.221 0.250
Al1 Al 0.150 0.435 0.250
Al2 Al 0.435 0.150 0.750
Al3 Al 0.565 0.850 0.250
Al4 Al 0.850 0.565 0.750
# Theoretical density (kg/m³): 3906
# Uncorrected energy (eV for the cell shown): -19.2
# Total magnetic moment (μB/f.u.): 0.0



# EuHgBr2 PBE-GGA optimized geometry
data_EuHgBr2
_cell_length_a 3.798
_cell_length_b 3.798
_cell_length_c 9.966
_cell_angle_alpha 90.00
_cell_angle_beta 90.00
_cell_angle_gamma 90.00
_space_group_name_H-M_alt 'P 1'
_space_group_IT_number 1
_space_group_name_Hall 'P 1'
loop_
_atom_site_label
_atom_site_type_symbol
_atom_site_fract_x
_atom_site_fract_y
_atom_site_fract_z
Eu1 Eu 0.000 0.000 0.000
Hg1 Hg 0.000 0.000 0.500
Br1 Br 0.500 0.500 0.172
Br2 Br 0.500 0.500 0.828
# Theoretical density (kg/m³): 5917
# Formation energy from raw total energies (meV per atom): -1372
# Total magnetic moment (μB/f.u.): 7.0



# HoCrPt4 PBE-GGA optimized geometry
data_HoCrPt4
_cell_length_a 5.340
_cell_length_b 5.340
_cell_length_c 5.340
_cell_angle_alpha 60.00
_cell_angle_beta 60.00
_cell_angle_gamma 60.00
_space_group_name_H-M_alt 'P 1'
_space_group_IT_number 1
_space_group_name_Hall 'P 1'
loop_
_atom_site_label
_atom_site_type_symbol
_atom_site_fract_x
_atom_site_fract_y
_atom_site_fract_z
Ho1 Ho 0.000 0.000 0.000
Cr1 Cr 0.750 0.750 0.750
Pt1 Pt 0.376 0.376 0.376
Pt2 Pt 0.376 0.376 0.873
Pt3 Pt 0.376 0.873 0.376
Pt4 Pt 0.873 0.376 0.376
# Theoretical density (kg/m³): 15378
# Uncorrected energy (eV for the cell shown): -42.0
# Total magnetic moment (μB/f.u.): 4.5



# WBr PBE-GGA optimized geometry
data_WBr
_cell_length_a 8.382
_cell_length_b 8.382
_cell_length_c 8.382
_cell_angle_alpha 92.25
_cell_angle_beta 92.25
_cell_angle_gamma 157.15
_space_group_name_H-M_alt 'P 1'
_space_group_IT_number 1
_space_group_name_Hall 'P 1'
loop_
_atom_site_label
_atom_site_type_symbol
_atom_site_fract_x
_atom_site_fract_y
_atom_site_fract_z
W1 W 0.190 0.295 0.485
W2 W 0.295 0.810 0.106
W3 W 0.705 0.190 0.894
W4 W 0.810 0.705 0.515
Br1 Br 0.268 0.500 0.768
Br2 Br 0.500 0.268 0.767
Br3 Br 0.500 0.732 0.233
Br4 Br 0.732 0.500 0.232
# Theoretical density (kg/m³): 7813
# Formation energy from raw total energies (meV per atom): 620
# Total magnetic moment (μB/f.u.): 0.0



# PmPr2Y3Tm6 PBE-GGA optimized geometry
data_PmPr2Y3Tm6
_cell_length_a 6.177
_cell_length_b 6.177
_cell_length_c 11.745
_cell_angle_alpha 95.02
_cell_angle_beta 95.02
_cell_angle_gamma 119.96
_space_group_name_H-M_alt 'P 1'
_space_group_IT_number 1
_space_group_name_Hall 'P 1'
loop_
_atom_site_label
_atom_site_type_symbol
_atom_site_fract_x
_atom_site_fract_y
_atom_site_fract_z
Pm1 Pm 0.000 0.000 0.000
Pr1 Pr 0.333 0.667 0.000
Pr2 Pr 0.667 0.333 0.000
Y1 Y 0.167 0.833 0.500
Y2 Y 0.500 0.500 0.500
Y3 Y 0.833 0.167 0.500
Tm1 Tm 0.085 0.418 0.253
Tm2 Tm 0.248 0.248 0.747
Tm3 Tm 0.418 0.085 0.253
Tm4 Tm 0.582 0.915 0.747
Tm5 Tm 0.752 0.752 0.253
Tm6 Tm 0.915 0.582 0.747
# Theoretical density (kg/m³): 7415
# Uncorrected energy (eV for the cell shown): -60.2
# Total magnetic moment (μB/f.u.): 0.0



# V2CdAsW PBE-GGA optimized geometry
data_V2CdAsW
_cell_length_a 4.595
_cell_length_b 4.595
_cell_length_c 4.651
_cell_angle_alpha 90.00
_cell_angle_beta 90.00
_cell_angle_gamma 90.00
_space_group_name_H-M_alt 'P 1'
_space_group_IT_number 1
_space_group_name_Hall 'P 1'
loop_
_atom_site_label
_atom_site_type_symbol
_atom_site_fract_x
_atom_site_fract_y
_atom_site_fract_z
V1 V 0.000 0.500 0.000
V2 V 0.500 0.000 0.000
Cd1 Cd 0.000 0.000 0.500
As1 As 0.500 0.500 0.000
W1 W 0.500 0.500 0.500
# Theoretical density (kg/m³): 7999
# Uncorrected energy (eV for the cell shown): -32.2
# Total magnetic moment (μB/f.u.): 3.2



# HgB2Os2 PBE-GGA optimized geometry
data_HgB2Os2
_cell_length_a 5.116
_cell_length_b 5.116
_cell_length_c 5.116
_cell_angle_alpha 135.94
_cell_angle_beta 135.94
_cell_angle_gamma 64.07
_space_group_name_H-M_alt 'P 1'
_space_group_IT_number 1
_space_group_name_Hall 'P 1'
loop_
_atom_site_label
_atom_site_type_symbol
_atom_site_fract_x
_atom_site_fract_y
_atom_site_fract_z
Hg1 Hg 0.000 0.000 0.000
B1 B 0.393 0.393 0.000
B2 B 0.607 0.607 0.000
Os1 Os 0.250 0.750 0.500
Os2 Os 0.750 0.250 0.500
# Theoretical density (kg/m³): 15663
# Uncorrected energy (eV for the cell shown): -33.9
# Total magnetic moment (μB/f.u.): 0.0



# MgCoPt2 PBE-GGA optimized geometry
data_MgCoPt2
_cell_length_a 4.398
_cell_length_b 4.398
_cell_length_c 4.398
_cell_angle_alpha 60.00
_cell_angle_beta 60.00
_cell_angle_gamma 60.00
_space_group_name_H-M_alt 'P 1'
_space_group_IT_number 1
_space_group_name_Hall 'P 1'
loop_
_atom_site_label
_atom_site_type_symbol
_atom_site_fract_x
_atom_site_fract_y
_atom_site_fract_z
Mg1 Mg 0.000 0.000 0.000
Co1 Co 0.750 0.750 0.750
Pt1 Pt 0.250 0.250 0.250
Pt2 Pt 0.500 0.500 0.500
# Theoretical density (kg/m³): 13069
# Uncorrected energy (eV for the cell shown): -21.6
# Total magnetic moment (μB/f.u.): 2.2



# NaHgB2Au PBE-GGA optimized geometry
data_NaHgB2Au
_cell_length_a 4.520
_cell_length_b 4.520
_cell_length_c 5.280
_cell_angle_alpha 90.00
_cell_angle_beta 90.00
_cell_angle_gamma 90.00
_space_group_name_H-M_alt 'P 1'
_space_group_IT_number 1
_space_group_name_Hall 'P 1'
loop_
_atom_site_label
_atom_site_type_symbol
_atom_site_fract_x
_atom_site_fract_y
_atom_site_fract_z
Na1 Na 0.000 0.000 0.000
Hg1 Hg 0.000 0.000 0.500
B1 B 0.000 0.500 0.000
B2 B 0.500 0.000 0.000
Au1 Au 0.500 0.500 0.500
# Theoretical density (kg/m³): 6806
# Uncorrected energy (eV for the cell shown): -7.7
# Total magnetic moment (μB/f.u.): 0.0



# Mn3Se PBE-GGA optimized geometry
data_Mn3Se
_cell_length_a 2.823
_cell_length_b 2.823
_cell_length_c 5.977
_cell_angle_alpha 90.00
_cell_angle_beta 90.00
_cell_angle_gamma 90.00
_space_group_name_H-M_alt 'P 1'
_space_group_IT_number 1
_space_group_name_Hall 'P 1'
loop_
_atom_site_label
_atom_site_type_symbol
_atom_site_fract_x
_atom_site_fract_y
_atom_site_fract_z
Mn1 Mn 0.000 0.000 0.000
Mn2 Mn 0.500 0.500 0.246
Mn3 Mn 0.500 0.500 0.754
Se1 Se 0.000 0.000 0.500
# Theoretical density (kg/m³): 8499
# Formation energy from raw total energies (meV per atom): 274
# Total magnetic moment (μB/f.u.): 0.0